#a
Material: Tb4Sm2Dy
Method: DFT, PBE
State: relaxed

Properties
- Magnetic moment: 0.0 μB/f.u.

a b c (Å): 6.0845 6.6279 11.6328
angles (deg): 90.00 104.17 90.00
Last column: nearest neighbours and their distance in Å.
Space group P2_1/m (No. 11)
Unique sites:
Tb 0.0156 0.2500 0.3517 x2  3 Sm 3.36-3.53, 2 Tb 3.37, 3 Dy 3.42-3.45
Tb 0.1506 0.2500 0.9421 x2  1 Dy 3.34, 4 Sm 3.34-3.43, 4 Tb 3.51-3.55
Tb 0.3540 0.5049 0.2120 x4  5 Tb 3.25-3.55, 1 Dy 3.46, 2 Sm 3.49-3.58
Sm 0.2876 0.7500 0.9318 x2  9 Tb 3.34-3.58
Sm 0.4011 0.7500 0.5043 x2  6 Tb 3.36-3.72, 2 Dy 3.39-3.67, 2 Sm 3.54
Dy 0.1470 0.2500 0.6547 x2  6 Tb 3.34-3.46, 2 Sm 3.39-3.67

#b
Material: Tb4Sm2Dy
Method: DFT, PBE
State: relaxed

Properties
- Magnetic moment: 0.0 μB/f.u.

a b c (Å): 16.8676 3.5460 8.7900
angles (deg): 90.00 119.79 90.00
Last column: nearest neighbours and their distance in Å.
Space group C2/m (No. 12)
Unique sites:
Tb 0.1435 0.0000 0.3430 x4  7 Tb 3.55-3.77, 4 Sm 3.64-3.66, 2 Dy 3.77
Tb 0.2044 0.0000 0.7927 x4  3 Sm 3.35-3.53, 5 Tb 3.55-3.64, 2 Dy 3.58
Sm 0.0699 0.5000 0.9297 x4  1 Sm 3.16, 3 Tb 3.35-3.53, 1 Dy 3.35
Dy 0.0000 0.5000 0.5000 x2  2 Sm 3.35, 2 Dy 3.55, 4 Tb 3.58

Quick look at relative energies in meV per atom: #a 87; #b 0.

#a
Material: TbSm8Dy2
Method: DFT, PBE
State: relaxed

Properties
- Magnetic moment: 0.0 μB/f.u.

a b c (Å): 16.7325 6.7478 6.6960
angles (deg): 90.00 100.18 90.00
Last column: nearest neighbours and their distance in Å.
Space group C2/m (No. 12)
Unique sites:
Tb 0.0000 0.0000 0.0000 x2  4 Sm 3.35
Sm 0.0879 0.2620 0.4053 x8  5 Sm 3.21-3.54, 1 Tb 3.35, 1 Dy 3.46
Sm 0.0916 0.5000 0.9103 x4  8 Sm 3.36-3.73, 1 Dy 3.68
Sm 0.2445 0.0000 0.3160 x4  5 Sm 3.30-3.48, 4 Dy 3.37-3.63
Dy 0.1994 0.0000 0.8047 x4  7 Sm 3.37-3.68

#b
Material: TbSm8Dy2
Method: DFT, PBE
State: relaxed

Properties
- Magnetic moment: 0.0 μB/f.u.

a b c (Å): 11.1582 7.4225 9.2835
angles (deg): 90.00 106.38 90.00
Last column: nearest neighbours and their distance in Å.
Space group C2/m (No. 12)
Unique sites:
Tb 0.0000 0.0000 0.0000 x2  6 Sm 3.20-3.44
Sm 0.0690 0.2809 0.2728 x8  1 Tb 3.20, 4 Sm 3.25-3.52, 2 Dy 3.48-3.49
Sm 0.1721 0.5000 0.6218 x4  7 Sm 3.44-3.52, 3 Dy 3.49-3.73
Sm 0.1917 0.5000 0.9982 x4  1 Tb 3.44, 5 Sm 3.44-3.65, 1 Dy 3.47
Dy 0.1422 0.0000 0.6244 x4  1 Dy 3.36, 8 Sm 3.47-3.73

Quick look at relative energies in meV per atom: #a 46; #b 0.

#a
Material: Tb5SmDy3
Method: DFT, PBE
State: relaxed

Properties
- Magnetic moment: 0.0 μB/f.u.

a b c (Å): 16.7854 8.0157 12.2828
angles (deg): 90.00 130.90 90.00
Last column: nearest neighbours and their distance in Å.
Space group C2/m (No. 12)
Unique sites:
Tb 0.0000 0.1808 0.0000 x4  1 Dy 2.56
Tb 0.0640 0.2953 0.7791 x8  5 Tb 3.28-3.64, 2 Dy 3.41-3.65, 2 Sm 3.63
Tb 0.1260 0.5000 0.5679 x4  6 Tb 3.37-3.75, 2 Dy 3.40-3.53
Tb 0.1995 0.0000 0.0688 x4  7 Tb 3.21-3.58, 1 Sm 3.24
Sm 0.2357 0.5000 0.1281 x4  2 Dy 3.16-3.35, 1 Tb 3.24
Dy 0.0000 0.0000 0.5000 x2  4 Tb 3.70, 2 Sm 3.74, 2 Dy 3.88
Dy 0.0000 0.5000 0.0000 x2  2 Tb 2.56
Dy 0.1176 0.0000 0.3140 x4  1 Dy 3.28, 5 Tb 3.30-3.53
Dy 0.1763 0.5000 0.3409 x4  2 Dy 3.17-3.28, 1 Sm 3.35, 1 Tb 3.40

#b
Material: Tb5SmDy3
Method: DFT, PBE
State: relaxed

Properties
- Magnetic moment: 0.0 μB/f.u.

a b c (Å): 17.2685 6.1953 11.2545
angles (deg): 90.00 90.70 90.00
Last column: nearest neighbours and their distance in Å.
Space group C2/c (No. 15)
Unique sites:
Tb 0.0000 0.0915 0.2500 x4  2 Sm 2.95-3.25, 2 Tb 3.26
Tb 0.1636 0.2251 0.5809 x8  2 Dy 3.37-3.41, 5 Tb 3.37-3.77, 1 Sm 3.56
Tb 0.1745 0.2934 0.2484 x8  3 Tb 3.26-3.53, 2 Dy 3.37-3.51, 1 Sm 3.61
Sm 0.0000 0.3845 0.7500 x4  2 Dy 2.90, 2 Tb 2.95-3.25
Dy 0.0000 0.5000 0.0000 x4  2 Sm 2.90
Dy 0.1641 0.2299 0.9167 x8  5 Tb 3.37-3.76, 2 Dy 3.43-3.50, 1 Sm 3.51

Quick look at relative energies in meV per atom: #a 102; #b 0.

#a
Material: Tb5Sm3Dy4
Method: DFT, PBE
State: relaxed

Properties
- Magnetic moment: 0.2 μB/f.u.

a b c (Å): 16.0386 5.9102 9.2730
angles (deg): 90.00 116.12 90.00
Last column: nearest neighbours and their distance in Å.
Space group C2/m (No. 12)
Unique sites:
Tb 0.0000 0.0000 0.0000 x2  4 Sm 2.96-3.07
Tb 0.0742 0.5000 0.6981 x4  2 Sm 3.25-3.49, 1 Tb 3.39, 2 Dy 3.62
Tb 0.1730 0.5000 0.3882 x4  4 Sm 3.20-3.46, 3 Dy 3.43-3.54
Sm 0.0000 0.5000 0.0000 x2  2 Tb 2.96
Sm 0.2081 0.0000 0.2295 x4  3 Tb 3.07-3.25, 2 Dy 3.28-3.39
Dy 0.0815 0.0000 0.4414 x4  1 Dy 3.24, 1 Sm 3.39, 3 Tb 3.43-3.54
Dy 0.2111 0.0000 0.8778 x4  3 Sm 3.28-3.54, 3 Dy 3.60-3.65, 2 Tb 3.62

#b
Material: Tb5Sm3Dy4
Method: DFT, PBE
State: relaxed

Properties
- Magnetic moment: 0.0 μB/f.u.

a b c (Å): 6.1828 7.1400 8.7388
angles (deg): 90.05 90.11 90.15
Last column: nearest neighbours and their distance in Å.
Space group P-1 (No. 2)
Unique sites:
Tb 0.0000 0.0000 0.0000 x1  4 Dy 3.56-3.57, 4 Tb 3.57, 4 Sm 3.57
Tb 0.3339 0.4999 0.3334 x2  3 Tb 3.56-3.57, 4 Sm 3.57-3.58, 5 Dy 3.57-3.58
Tb 0.4992 0.7509 0.0000 x2  6 Tb 3.56-3.58, 3 Dy 3.56-3.57, 3 Sm 3.56-3.58
Sm 0.0000 0.5000 0.0000 x1  8 Tb 3.56-3.58, 2 Sm 3.58, 2 Dy 3.58
Sm 0.1665 0.2496 0.6661 x2  6 Dy 3.56-3.58, 5 Tb 3.57-3.58, 1 Sm 3.58
Dy 0.1676 0.7510 0.6665 x2  3 Dy 3.56-3.58, 4 Sm 3.56-3.58, 5 Tb 3.56-3.58
Dy 0.3333 0.0000 0.3333 x2  4 Dy 3.56-3.58, 3 Sm 3.56-3.57, 5 Tb 3.56-3.57

Quick look at relative energies in meV per atom: #a 216; #b 0.